Run one
# Dy2Cu2O5 PBEsol relaxed
data_Dy2Cu2O5
_chemical_formula_sum 'Dy8 Cu8 O20'
_cell_length_a 10.758
_cell_length_b 3.483
_cell_length_c 12.367
_cell_angle_alpha 90.00
_cell_angle_beta 90.00
_cell_angle_gamma 90.00
_symmetry_space_group_name_H-M 'P 1'
_symmetry_Int_Tables_number 1
_symmetry_space_group_name_Hall 'P 1'
loop_
_atom_site_label
_atom_site_type_symbol
_atom_site_fract_x
_atom_site_fract_y
_atom_site_fract_z
Dy1 Dy 0.043 0.218 0.000
Dy2 Dy 0.208 0.215 0.328
Dy3 Dy 0.292 0.715 0.828
Dy4 Dy 0.457 0.718 0.500
Dy5 Dy 0.543 0.282 0.000
Dy6 Dy 0.708 0.285 0.328
Dy7 Dy 0.792 0.785 0.828
Dy8 Dy 0.957 0.782 0.500
Cu1 Cu 0.011 0.342 0.717
Cu2 Cu 0.238 0.153 0.613
Cu3 Cu 0.262 0.653 0.113
Cu4 Cu 0.489 0.842 0.217
Cu5 Cu 0.511 0.158 0.717
Cu6 Cu 0.738 0.347 0.613
Cu7 Cu 0.762 0.847 0.113
Cu8 Cu 0.989 0.658 0.217
O1 O 0.072 0.279 0.567
O2 O 0.076 0.721 0.356
O3 O 0.125 0.345 0.164
O4 O 0.174 0.722 0.974
O5 O 0.176 0.213 0.764
O6 O 0.324 0.713 0.264
O7 O 0.326 0.222 0.474
O8 O 0.375 0.845 0.664
O9 O 0.424 0.221 0.856
O10 O 0.428 0.779 0.067
O11 O 0.572 0.221 0.567
O12 O 0.576 0.779 0.356
O13 O 0.625 0.155 0.164
O14 O 0.674 0.778 0.974
O15 O 0.676 0.287 0.764
O16 O 0.824 0.787 0.264
O17 O 0.826 0.278 0.474
O18 O 0.875 0.655 0.664
O19 O 0.924 0.279 0.856
O20 O 0.928 0.721 0.067
# Crystal system   orthorhombic

=====

Run two
# Dy2Cu2O5 PBEsol relaxed
data_Dy2Cu2O5
_chemical_formula_sum 'Dy8 Cu8 O20'
_cell_length_a 6.167
_cell_length_b 11.063
_cell_length_c 7.072
_cell_angle_alpha 90.00
_cell_angle_beta 90.00
_cell_angle_gamma 90.00
_symmetry_space_group_name_H-M 'P 1'
_symmetry_Int_Tables_number 1
_symmetry_space_group_name_Hall 'P 1'
loop_
_atom_site_label
_atom_site_type_symbol
_atom_site_fract_x
_atom_site_fract_y
_atom_site_fract_z
Dy1 Dy 0.250 0.023 0.119
Dy2 Dy 0.250 0.477 0.119
Dy3 Dy 0.250 0.523 0.619
Dy4 Dy 0.250 0.977 0.619
Dy5 Dy 0.750 0.023 0.381
Dy6 Dy 0.750 0.477 0.381
Dy7 Dy 0.750 0.523 0.881
Dy8 Dy 0.750 0.977 0.881
Cu1 Cu 0.071 0.250 0.347
Cu2 Cu 0.088 0.250 0.870
Cu3 Cu 0.412 0.750 0.370
Cu4 Cu 0.429 0.750 0.847
Cu5 Cu 0.571 0.250 0.153
Cu6 Cu 0.588 0.250 0.630
Cu7 Cu 0.912 0.750 0.130
Cu8 Cu 0.929 0.750 0.653
O1 O 0.069 0.085 0.855
O2 O 0.069 0.415 0.855
O3 O 0.097 0.088 0.387
O4 O 0.097 0.412 0.387
O5 O 0.246 0.750 0.618
O6 O 0.254 0.250 0.118
O7 O 0.403 0.588 0.887
O8 O 0.403 0.912 0.887
O9 O 0.431 0.585 0.355
O10 O 0.431 0.915 0.355
O11 O 0.569 0.085 0.645
O12 O 0.569 0.415 0.645
O13 O 0.597 0.088 0.113
O14 O 0.597 0.412 0.113
O15 O 0.746 0.750 0.882
O16 O 0.754 0.250 0.382
O17 O 0.903 0.588 0.613
O18 O 0.903 0.912 0.613
O19 O 0.931 0.585 0.145
O20 O 0.931 0.915 0.145
# Crystal system   orthorhombic

=====

Relative energies in kJ/mol of atoms: run one 1.5; run two 0.0

=====

Run one
# ErCu3Te3 PBEsol relaxed
data_ErCu3Te3
_chemical_formula_sum 'Er2 Cu6 Te6'
_cell_length_a 8.015
_cell_length_b 8.015
_cell_length_c 8.015
_cell_angle_alpha 54.06
_cell_angle_beta 54.06
_cell_angle_gamma 54.06
_symmetry_space_group_name_H-M 'P 1'
_symmetry_Int_Tables_number 1
_symmetry_space_group_name_Hall 'P 1'
loop_
_atom_site_label
_atom_site_type_symbol
_atom_site_fract_x
_atom_site_fract_y
_atom_site_fract_z
Er1 Er 0.163 0.163 0.163
Er2 Er 0.837 0.837 0.837
Cu1 Cu 0.021 0.355 0.747
Cu2 Cu 0.253 0.979 0.645
Cu3 Cu 0.355 0.747 0.021
Cu4 Cu 0.645 0.253 0.979
Cu5 Cu 0.747 0.021 0.355
Cu6 Cu 0.979 0.645 0.253
Te1 Te 0.104 0.726 0.427
Te2 Te 0.274 0.573 0.896
Te3 Te 0.427 0.104 0.726
Te4 Te 0.573 0.896 0.274
Te5 Te 0.726 0.427 0.104
Te6 Te 0.896 0.274 0.573
# Crystal system   trigonal

=====

Run two
# ErCu3Te3 PBEsol relaxed
data_ErCu3Te3
_chemical_formula_sum 'Er4 Cu12 Te12'
_cell_length_a 12.572
_cell_length_b 7.502
_cell_length_c 6.762
_cell_angle_alpha 90.00
_cell_angle_beta 90.00
_cell_angle_gamma 90.00
_symmetry_space_group_name_H-M 'P 1'
_symmetry_Int_Tables_number 1
_symmetry_space_group_name_Hall 'P 1'
loop_
_atom_site_label
_atom_site_type_symbol
_atom_site_fract_x
_atom_site_fract_y
_atom_site_fract_z
Er1 Er 0.160 0.250 0.000
Er2 Er 0.340 0.750 0.500
Er3 Er 0.660 0.750 0.500
Er4 Er 0.840 0.250 0.000
Cu1 Cu 0.000 0.125 0.632
Cu2 Cu 0.000 0.374 0.367
Cu3 Cu 0.174 0.618 0.876
Cu4 Cu 0.175 0.882 0.124
Cu5 Cu 0.325 0.118 0.624
Cu6 Cu 0.326 0.382 0.376
Cu7 Cu 0.500 0.626 0.867
Cu8 Cu 0.500 0.875 0.132
Cu9 Cu 0.674 0.382 0.376
Cu10 Cu 0.675 0.118 0.624
Cu11 Cu 0.825 0.882 0.124
Cu12 Cu 0.826 0.618 0.876
Te1 Te 0.000 0.045 0.251
Te2 Te 0.000 0.454 0.749
Te3 Te 0.162 0.567 0.267
Te4 Te 0.162 0.933 0.733
Te5 Te 0.338 0.067 0.233
Te6 Te 0.338 0.433 0.767
Te7 Te 0.500 0.546 0.249
Te8 Te 0.500 0.955 0.751
Te9 Te 0.662 0.067 0.233
Te10 Te 0.662 0.433 0.767
Te11 Te 0.838 0.567 0.267
Te12 Te 0.838 0.933 0.733
# Crystal system   orthorhombic

=====

Relative energies in kJ/mol of atoms: run one 4.3; run two 0.0

=====

Run one
# K4MgCu3F12 PBEsol relaxed
data_K4MgCu3F12
_chemical_formula_sum 'K4 Mg1 Cu3 F12'
_cell_length_a 6.927
_cell_length_b 6.927
_cell_length_c 6.927
_cell_angle_alpha 109.47
_cell_angle_beta 109.47
_cell_angle_gamma 109.47
_symmetry_space_group_name_H-M 'P 1'
_symmetry_Int_Tables_number 1
_symmetry_space_group_name_Hall 'P 1'
loop_
_atom_site_label
_atom_site_type_symbol
_atom_site_fract_x
_atom_site_fract_y
_atom_site_fract_z
K1 K 0.000 0.000 0.500
K2 K 0.000 0.500 0.000
K3 K 0.500 0.000 0.000
K4 K 0.500 0.500 0.500
Mg1 Mg 0.000 0.000 0.000
Cu1 Cu 0.000 0.500 0.500
Cu2 Cu 0.500 0.000 0.500
Cu3 Cu 0.500 0.500 0.000
F1 F 0.000 0.249 0.249
F2 F 0.000 0.751 0.751
F3 F 0.249 0.000 0.249
F4 F 0.249 0.249 0.000
F5 F 0.250 0.500 0.750
F6 F 0.250 0.750 0.500
F7 F 0.500 0.250 0.750
F8 F 0.500 0.750 0.250
F9 F 0.750 0.250 0.500
F10 F 0.750 0.500 0.250
F11 F 0.751 0.000 0.751
F12 F 0.751 0.751 0.000
# Crystal system   cubic

=====

Run two
# K4MgCu3F12 PBEsol relaxed
data_K4MgCu3F12
_chemical_formula_sum 'K4 Mg1 Cu3 F12'
_cell_length_a 8.963
_cell_length_b 8.963
_cell_length_c 3.990
_cell_angle_alpha 90.00
_cell_angle_beta 90.00
_cell_angle_gamma 127.13
_symmetry_space_group_name_H-M 'P 1'
_symmetry_Int_Tables_number 1
_symmetry_space_group_name_Hall 'P 1'
loop_
_atom_site_label
_atom_site_type_symbol
_atom_site_fract_x
_atom_site_fract_y
_atom_site_fract_z
K1 K 0.121 0.374 0.000
K2 K 0.374 0.121 0.000
K3 K 0.626 0.879 0.000
K4 K 0.879 0.626 0.000
Mg1 Mg 0.500 0.500 0.500
Cu1 Cu 0.000 0.000 0.500
Cu2 Cu 0.251 0.749 0.500
Cu3 Cu 0.749 0.251 0.500
F1 F 0.000 0.000 0.000
F2 F 0.000 0.500 0.500
F3 F 0.127 0.873 0.500
F4 F 0.249 0.249 0.500
F5 F 0.251 0.749 0.000
F6 F 0.376 0.624 0.500
F7 F 0.500 0.000 0.500
F8 F 0.500 0.500 0.000
F9 F 0.624 0.376 0.500
F10 F 0.749 0.251 0.000
F11 F 0.751 0.751 0.500
F12 F 0.873 0.127 0.500
# Crystal system   orthorhombic

=====

Relative energies in kJ/mol of atoms: run one 0.7; run two 0.0

=====

Run one
# Li2Cu2F7 PBEsol relaxed
data_Li2Cu2F7
_chemical_formula_sum 'Li4 Cu4 F14'
_cell_length_a 7.002
_cell_length_b 7.002
_cell_length_c 7.002
_cell_angle_alpha 60.00
_cell_angle_beta 60.00
_cell_angle_gamma 60.00
_symmetry_space_group_name_H-M 'P 1'
_symmetry_Int_Tables_number 1
_symmetry_space_group_name_Hall 'P 1'
loop_
_atom_site_label
_atom_site_type_symbol
_atom_site_fract_x
_atom_site_fract_y
_atom_site_fract_z
Li1 Li 0.000 0.000 0.000
Li2 Li 0.000 0.000 0.500
Li3 Li 0.000 0.500 0.000
Li4 Li 0.500 0.000 0.000
Cu1 Cu 0.000 0.500 0.500
Cu2 Cu 0.500 0.000 0.500
Cu3 Cu 0.500 0.500 0.000
Cu4 Cu 0.500 0.500 0.500
F1 F 0.125 0.125 0.125
F2 F 0.171 0.171 0.579
F3 F 0.171 0.579 0.171
F4 F 0.171 0.579 0.579
F5 F 0.421 0.421 0.829
F6 F 0.421 0.829 0.421
F7 F 0.421 0.829 0.829
F8 F 0.579 0.171 0.171
F9 F 0.579 0.171 0.579
F10 F 0.579 0.579 0.171
F11 F 0.829 0.421 0.421
F12 F 0.829 0.421 0.829
F13 F 0.829 0.829 0.421
F14 F 0.875 0.875 0.875
# Crystal system   cubic

=====

Run two
# Li2Cu2F7 PBEsol relaxed
data_Li2Cu2F7
_chemical_formula_sum 'Li4 Cu4 F14'
_cell_length_a 5.242
_cell_length_b 6.402
_cell_length_c 8.531
_cell_angle_alpha 73.26
_cell_angle_beta 72.97
_cell_angle_gamma 84.34
_symmetry_space_group_name_H-M 'P 1'
_symmetry_Int_Tables_number 1
_symmetry_space_group_name_Hall 'P 1'
loop_
_atom_site_label
_atom_site_type_symbol
_atom_site_fract_x
_atom_site_fract_y
_atom_site_fract_z
Li1 Li 0.056 0.238 0.356
Li2 Li 0.400 0.582 0.723
Li3 Li 0.600 0.418 0.277
Li4 Li 0.944 0.762 0.644
Cu1 Cu 0.203 0.994 0.826
Cu2 Cu 0.279 0.789 0.297
Cu3 Cu 0.721 0.211 0.703
Cu4 Cu 0.797 0.006 0.174
F1 F 0.074 0.113 0.606
F2 F 0.100 0.723 0.834
F3 F 0.174 0.905 0.083
F4 F 0.238 0.498 0.297
F5 F 0.309 0.701 0.522
F6 F 0.346 0.266 0.806
F7 F 0.419 0.081 0.261
F8 F 0.581 0.919 0.739
F9 F 0.654 0.734 0.194
F10 F 0.691 0.299 0.478
F11 F 0.762 0.502 0.703
F12 F 0.826 0.095 0.917
F13 F 0.900 0.277 0.166
F14 F 0.926 0.887 0.394
# Crystal system   triclinic

=====

Relative energies in kJ/mol of atoms: run one 1.3; run two 0.0